No. 1
# PBE-GGA GaSiAg, optimized geometry
# SG	No. 194
# formation energy (no corrections)	19.99	kcal/mol of atoms
data_GaSiAg
_cell_length_a 4.4355
_cell_length_b 4.4355
_cell_length_c 9.4283
_cell_angle_alpha 90.00
_cell_angle_beta 90.00
_cell_angle_gamma 120.00
_symmetry_space_group_name_H-M 'P 1'
_symmetry_Int_Tables_number 1
_symmetry_space_group_name_Hall 'P 1'
loop_
_atom_site_label
_atom_site_fract_x
_atom_site_fract_y
_atom_site_fract_z
_atom_site_occupancy
Ga1 0.0000 0.0000 0.2500 1
Ga2 0.0000 0.0000 0.7500 1
Si1 0.0000 0.0000 0.0000 1
Si2 0.0000 0.0000 0.5000 1
Ag1 0.3333 0.6667 0.2500 1
Ag2 0.6667 0.3333 0.7500 1

---

No. 2
# PBE-GGA GaSiAg3, optimized geometry
# SG	No. 221
# distance to the lowest polymorph of the same formula	0.000	eV per atom
# formation energy (no corrections)	8.11	kcal/mol of atoms
data_GaSiAg3
_cell_length_a 4.8496
_cell_length_b 4.8496
_cell_length_c 4.8496
_cell_angle_alpha 90.00
_cell_angle_beta 90.00
_cell_angle_gamma 90.00
_symmetry_space_group_name_H-M 'P 1'
_symmetry_Int_Tables_number 1
_symmetry_space_group_name_Hall 'P 1'
loop_
_atom_site_label
_atom_site_fract_x
_atom_site_fract_y
_atom_site_fract_z
_atom_site_occupancy
Ga1 0.0000 0.0000 0.0000 1
Si1 0.5000 0.5000 0.5000 1
Ag1 0.0000 0.5000 0.5000 1
Ag2 0.5000 0.0000 0.5000 1
Ag3 0.5000 0.5000 0.0000 1

---

No. 3
# PBE-GGA GaSiAg, optimized geometry
# SG	No. 1
# formation energy (no corrections)	4.56	kcal/mol of atoms
data_GaSiAg
_cell_length_a 2.7829
_cell_length_b 4.9313
_cell_length_c 8.0773
_cell_angle_alpha 73.15
_cell_angle_beta 89.86
_cell_angle_gamma 89.77
_symmetry_space_group_name_H-M 'P 1'
_symmetry_Int_Tables_number 1
_symmetry_space_group_name_Hall 'P 1'
loop_
_atom_site_label
_atom_site_fract_x
_atom_site_fract_y
_atom_site_fract_z
_atom_site_occupancy
Ga1 0.0000 0.0000 0.0000 1
Ga2 0.0019 0.6151 0.7645 1
Si1 0.0025 0.0961 0.4020 1
Si2 0.0026 0.4420 0.1142 1
Ag1 0.5021 0.1662 0.6745 1
Ag2 0.5048 0.6596 0.3569 1

---

No. 4
# PBE-GGA GaSi2Ag2, optimized geometry
# SG	No. 127
# distance to the lowest polymorph of the same formula	0.055	eV per atom
# formation energy (no corrections)	7.89	kcal/mol of atoms
data_GaSi2Ag2
_cell_length_a 8.1912
_cell_length_b 8.1912
_cell_length_c 2.7202
_cell_angle_alpha 90.00
_cell_angle_beta 90.00
_cell_angle_gamma 90.00
_symmetry_space_group_name_H-M 'P 1'
_symmetry_Int_Tables_number 1
_symmetry_space_group_name_Hall 'P 1'
loop_
_atom_site_label
_atom_site_fract_x
_atom_site_fract_y
_atom_site_fract_z
_atom_site_occupancy
Ga1 0.0000 0.0000 0.0000 1
Ga2 0.5000 0.5000 0.0000 1
Si1 0.1422 0.3578 0.0000 1
Si2 0.3578 0.8578 0.0000 1
Si3 0.6422 0.1422 0.0000 1
Si4 0.8578 0.6422 0.0000 1
Ag1 0.1550 0.6550 0.5000 1
Ag2 0.3450 0.1550 0.5000 1
Ag3 0.6550 0.8450 0.5000 1
Ag4 0.8450 0.3450 0.5000 1

---

No. 5
# PBE-GGA GaSiAg, optimized geometry
# SG	No. 1
# formation energy (no corrections)	4.52	kcal/mol of atoms
data_GaSiAg
_cell_length_a 2.7776
_cell_length_b 6.4141
_cell_length_c 6.8396
_cell_angle_alpha 69.84
_cell_angle_beta 78.68
_cell_angle_gamma 89.94
_symmetry_space_group_name_H-M 'P 1'
_symmetry_Int_Tables_number 1
_symmetry_space_group_name_Hall 'P 1'
loop_
_atom_site_label
_atom_site_fract_x
_atom_site_fract_y
_atom_site_fract_z
_atom_site_occupancy
Ga1 0.0000 0.0000 0.0000 1
Ga2 0.2683 0.9151 0.4430 1
Si1 0.1047 0.4025 0.7749 1
Si2 0.2875 0.5419 0.3974 1
Ag1 0.5595 0.7085 0.8675 1
Ag2 0.8707 0.3025 0.2295 1

---

No. 6
# PBE-GGA GaSiAg, optimized geometry
# SG	No. 38
# formation energy (no corrections)	3.56	kcal/mol of atoms
data_GaSiAg
_cell_length_a 4.2029
_cell_length_b 9.5218
_cell_length_c 9.5218
_cell_angle_alpha 17.20
_cell_angle_beta 90.00
_cell_angle_gamma 90.00
_symmetry_space_group_name_H-M 'P 1'
_symmetry_Int_Tables_number 1
_symmetry_space_group_name_Hall 'P 1'
loop_
_atom_site_label
_atom_site_fract_x
_atom_site_fract_y
_atom_site_fract_z
_atom_site_occupancy
Ga1 0.0000 0.0000 0.0000 1
Ga2 0.0000 0.3806 0.3806 1
Si1 0.5000 0.3134 0.3134 1
Si2 0.5000 0.7075 0.7075 1
Ag1 0.0000 0.1560 0.1560 1
Ag2 0.5000 0.5594 0.5594 1

---

No. 7
# PBE-GGA GaSiAg, optimized geometry
# SG	No. 2
# formation energy (no corrections)	3.86	kcal/mol of atoms
data_GaSiAg
_cell_length_a 3.7121
_cell_length_b 5.3414
_cell_length_c 5.8597
_cell_angle_alpha 91.44
_cell_angle_beta 98.06
_cell_angle_gamma 104.67
_symmetry_space_group_name_H-M 'P 1'
_symmetry_Int_Tables_number 1
_symmetry_space_group_name_Hall 'P 1'
loop_
_atom_site_label
_atom_site_fract_x
_atom_site_fract_y
_atom_site_fract_z
_atom_site_occupancy
Ga1 0.0749 0.0475 0.2782 1
Ga2 0.9251 0.9525 0.7218 1
Si1 0.2485 0.4298 0.6098 1
Si2 0.7515 0.5702 0.3902 1
Ag1 0.3730 0.7231 0.0041 1
Ag2 0.6270 0.2769 0.9959 1

---

No. 8
# PBE-GGA GaSiAg, optimized geometry
# SG	No. 194
# formation energy (no corrections)	7.57	kcal/mol of atoms
data_GaSiAg
_cell_length_a 4.1337
_cell_length_b 4.1337
_cell_length_c 7.7521
_cell_angle_alpha 90.00
_cell_angle_beta 90.00
_cell_angle_gamma 120.00
_symmetry_space_group_name_H-M 'P 1'
_symmetry_Int_Tables_number 1
_symmetry_space_group_name_Hall 'P 1'
loop_
_atom_site_label
_atom_site_fract_x
_atom_site_fract_y
_atom_site_fract_z
_atom_site_occupancy
Ga1 0.3333 0.6667 0.2500 1
Ga2 0.6667 0.3333 0.7500 1
Si1 0.3333 0.6667 0.7500 1
Si2 0.6667 0.3333 0.2500 1
Ag1 0.0000 0.0000 0.0000 1
Ag2 0.0000 0.0000 0.5000 1

---

No. 9
# PBE-GGA GaSiAg, optimized geometry
# SG	No. 129
# formation energy (no corrections)	6.02	kcal/mol of atoms
data_GaSiAg
_cell_length_a 3.9763
_cell_length_b 3.9763
_cell_length_c 6.9331
_cell_angle_alpha 90.00
_cell_angle_beta 90.00
_cell_angle_gamma 90.00
_symmetry_space_group_name_H-M 'P 1'
_symmetry_Int_Tables_number 1
_symmetry_space_group_name_Hall 'P 1'
loop_
_atom_site_label
_atom_site_fract_x
_atom_site_fract_y
_atom_site_fract_z
_atom_site_occupancy
Ga1 0.2500 0.7500 0.0000 1
Ga2 0.7500 0.2500 0.0000 1
Si1 0.2500 0.2500 0.2417 1
Si2 0.7500 0.7500 0.7583 1
Ag1 0.2500 0.2500 0.6046 1
Ag2 0.7500 0.7500 0.3954 1

---

No. 10
# PBE-GGA GaSiAg, optimized geometry
# SG	No. 1
# formation energy (no corrections)	4.80	kcal/mol of atoms
data_GaSiAg
_cell_length_a 2.8312
_cell_length_b 5.1326
_cell_length_c 7.9816
_cell_angle_alpha 107.64
_cell_angle_beta 90.15
_cell_angle_gamma 105.81
_symmetry_space_group_name_H-M 'P 1'
_symmetry_Int_Tables_number 1
_symmetry_space_group_name_Hall 'P 1'
loop_
_atom_site_label
_atom_site_fract_x
_atom_site_fract_y
_atom_site_fract_z
_atom_site_occupancy
Ga1 0.0000 0.0000 0.0000 1
Ga2 0.0429 0.1060 0.6416 1
Si1 0.2455 0.5100 0.9479 1
Si2 0.3071 0.6307 0.2691 1
Ag1 0.3123 0.6399 0.6308 1
Ag2 0.5940 0.1985 0.3425 1

---

No. 11
# PBE-GGA GaSiAg, optimized geometry
# SG	No. 62
# formation energy (no corrections)	3.97	kcal/mol of atoms
data_GaSiAg
_cell_length_a 7.1509
_cell_length_b 4.4543
_cell_length_c 6.8114
_cell_angle_alpha 90.00
_cell_angle_beta 90.00
_cell_angle_gamma 90.00
_symmetry_space_group_name_H-M 'P 1'
_symmetry_Int_Tables_number 1
_symmetry_space_group_name_Hall 'P 1'
loop_
_atom_site_label
_atom_site_fract_x
_atom_site_fract_y
_atom_site_fract_z
_atom_site_occupancy
Ga1 0.0682 0.2500 0.1638 1
Ga2 0.4318 0.7500 0.6638 1
Ga3 0.5682 0.2500 0.3362 1
Ga4 0.9318 0.7500 0.8362 1
Si1 0.2224 0.7500 0.0427 1
Si2 0.2776 0.2500 0.5427 1
Si3 0.7224 0.7500 0.4573 1
Si4 0.7776 0.2500 0.9573 1
Ag1 0.1032 0.7500 0.4162 1
Ag2 0.3968 0.2500 0.9162 1
Ag3 0.6032 0.7500 0.0838 1
Ag4 0.8968 0.2500 0.5838 1

---

No. 12
# PBE-GGA GaSiAg, optimized geometry
# SG	No. 1
# formation energy (no corrections)	3.97	kcal/mol of atoms
data_GaSiAg
_cell_length_a 3.6388
_cell_length_b 5.4974
_cell_length_c 5.7889
_cell_angle_alpha 97.93
_cell_angle_beta 91.10
_cell_angle_gamma 107.01
_symmetry_space_group_name_H-M 'P 1'
_symmetry_Int_Tables_number 1
_symmetry_space_group_name_Hall 'P 1'
loop_
_atom_site_label
_atom_site_fract_x
_atom_site_fract_y
_atom_site_fract_z
_atom_site_occupancy
Ga1 0.0000 0.0000 0.0000 1
Ga2 0.4949 0.8658 0.3310 1
Si1 0.3120 0.3598 0.3466 1
Si2 0.8604 0.5120 0.1213 1
Ag1 0.3139 0.6578 0.7484 1
Ag2 0.5999 0.2150 0.7172 1

---

No. 13
# PBE-GGA Ga2SiAg2, optimized geometry
# SG	No. 127
# distance to the lowest polymorph of the same formula	0.000	eV per atom
# formation energy (no corrections)	5.89	kcal/mol of atoms
data_Ga2SiAg2
_cell_length_a 7.9950
_cell_length_b 7.9950
_cell_length_c 2.8627
_cell_angle_alpha 90.00
_cell_angle_beta 90.00
_cell_angle_gamma 90.00
_symmetry_space_group_name_H-M 'P 1'
_symmetry_Int_Tables_number 1
_symmetry_space_group_name_Hall 'P 1'
loop_
_atom_site_label
_atom_site_fract_x
_atom_site_fract_y
_atom_site_fract_z
_atom_site_occupancy
Ga1 0.1720 0.3280 0.0000 1
Ga2 0.3280 0.8280 0.0000 1
Ga3 0.6720 0.1720 0.0000 1
Ga4 0.8280 0.6720 0.0000 1
Si1 0.0000 0.0000 0.0000 1
Si2 0.5000 0.5000 0.0000 1
Ag1 0.1278 0.6278 0.5000 1
Ag2 0.3722 0.1278 0.5000 1
Ag3 0.6278 0.8722 0.5000 1
Ag4 0.8722 0.3722 0.5000 1